Entry 1:
The following is a DFT calculation (GGA-PBE) of an optimized crystal structure of ReB2SbSe.

Cell: 4.2647 4.2647 5.2980 Å, 90.00 90.00 90.00°
Last column: nearest neighbours and their distance in Å.
Space group P4/mmm (No. 123)
Inequivalent atoms, fractional coordinates:
Re 0.0000 0.0000 0.0000  4 Se 3.02
B 0.0000 0.5000 0.5000  2 Sb 2.13
Sb 0.5000 0.5000 0.5000  4 B 2.13
Se 0.5000 0.5000 0.0000  2 Sb 2.65

Properties
VASP energy, eV per formula unit: -20.8
DOS(E_F), states/eV/atom: 1.2436
Energy relative to the elements, uncorrected, eV/f.u.: 12.6


Entry 2:
The following is a DFT calculation (GGA-PBE) of an optimized crystal structure of ReSi2BSb.

Cell: 4.2520 4.2520 4.2971 Å, 90.00 90.00 90.00°
Last column: nearest neighbours and their distance in Å.
Space group P4/mmm (No. 123)
Inequivalent atoms, fractional coordinates:
Re 0.0000 0.0000 0.0000  2 B 2.15
Si 0.0000 0.5000 0.5000  2 B 2.13
B 0.0000 0.0000 0.5000  4 Si 2.13, 2 Re 2.15
Sb 0.5000 0.5000 0.0000  4 Re 3.01, 8 Si 3.02

Properties
VASP energy, eV per formula unit: -29.9
DOS(E_F), states/eV/atom: 0.6535
Energy relative to the elements, uncorrected, eV/f.u.: 4.2